Record 1
The following is a DFT calculation (PBE) of a relaxed CePu2Np crystal.

Results
**Formation energy from the elements**: 468 meV/atom
**Density**: 15.5 g cm⁻³

CIF file:
```
data_CePu2Np
_chemical_formula_sum 'Ce3 Pu6 Np3'
_space_group_name_H-M_alt 'R -3 m'
_space_group_IT_number 166
_space_group_name_Hall '-R 3 2"'
_cell_length_a 3.8303
_cell_length_b 3.8303
_cell_length_c 21.8780
_cell_angle_alpha 90.00
_cell_angle_beta 90.00
_cell_angle_gamma 120.00
loop_
_atom_site_label
_atom_site_type_symbol
_atom_site_fract_x
_atom_site_fract_y
_atom_site_fract_z
Ce1 Ce 0.0000 0.0000 0.0000
Pu1 Pu 0.0000 0.0000 0.1169
Np1 Np 0.0000 0.0000 0.5000
```

Record 2
The following is a DFT calculation (PBE) of a relaxed SmMnC2 crystal.

Results
**Formation energy from the elements**: 298 meV/atom
**Density**: 7.7 g cm⁻³

CIF file:
```
data_SmMnC2
_chemical_formula_sum 'Sm3 Mn3 C6'
_space_group_name_H-M_alt 'R -3 m'
_space_group_IT_number 166
_space_group_name_Hall '-R 3 2"'
_cell_length_a 3.3131
_cell_length_b 3.3131
_cell_length_c 15.6567
_cell_angle_alpha 90.00
_cell_angle_beta 90.00
_cell_angle_gamma 120.00
loop_
_atom_site_label
_atom_site_type_symbol
_atom_site_fract_x
_atom_site_fract_y
_atom_site_fract_z
Sm1 Sm 0.0000 0.0000 0.0000
Mn1 Mn 0.0000 0.0000 0.5000
C1 C 0.0000 0.0000 0.2272
```

Record 3
The following is a DFT calculation (PBE) of a relaxed TaFePt2 crystal.

Results
**Formation energy from the elements**: -371 meV/atom
**Density**: 16.8 g cm⁻³
**Energy relative to the lowest polymorph listed for this composition**: 79 kJ/mol of formula units

CIF file:
```
data_TaFePt2
_chemical_formula_sum 'Ta1 Fe1 Pt2'
_space_group_name_H-M_alt 'P 4 m m'
_space_group_IT_number 99
_cell_length_a 3.325
_cell_length_b 3.325
_cell_length_c 5.598
_cell_angle_alpha 90.00
_cell_angle_beta 90.00
_cell_angle_gamma 90.00
loop_
_space_group_symop_operation_xyz
'x,y,z'
'-y,x,z'
'-x,-y,z'
'y,-x,z'
'-x,y,z'
'y,x,z'
'x,-y,z'
'-y,-x,z'
loop_
_atom_site_label
_atom_site_type_symbol
_atom_site_fract_x
_atom_site_fract_y
_atom_site_fract_z
Ta1 Ta 0.000 0.000 0.000
Fe1 Fe 0.500 0.500 0.261
Pt1 Pt 0.000 0.000 0.470
Pt2 Pt 0.500 0.500 0.755
```